First-principles (PBE+U) data for Co3OF5 after structural relaxation, as listed in Alexandria via LeMat-Bulk.

a = 4.7191 Å, b = 4.7156 Å, c = 9.4711 Å
α = 90.00°, β = 90.00°, γ = 90.00°
Each line ends with the local moment (μB).
Fractional positions:
Co  0.7543  0.9871  0.3400  2.88
F  0.9452  0.8004  0.8336  0.11
F  0.4363  0.6946  0.3307  0.10
F  0.5340  0.2099  0.5000  0.09
F  0.0548  0.3004  0.3336  0.11
F  0.9452  0.8004  0.1664  0.11
F  0.0548  0.3004  0.6664  0.11
O  0.9387  0.7970  0.5000  0.54
Co  0.2457  0.4871  0.8400  2.88
F  0.4660  0.7099  0.0000  0.09
Co  0.2457  0.4871  0.1600  2.88
O  0.0613  0.2970  0.0000  0.54
F  0.4363  0.6946  0.6693  0.10
Co  0.2193  0.5288  0.5000  3.00
Co  0.7807  0.0288  0.0000  3.00
Co  0.7543  0.9871  0.6600  2.88
F  0.5637  0.1946  0.8307  0.10
F  0.5637  0.1946  0.1693  0.10

## Properties
Final energy ... -92.63 eV per cell